# 1
First-principles (PBE-GGA) data for a relaxed Sr3SiHg crystal, as listed in Alexandria.

```
Sr3SiHg
1.0
6.061 0.000 0.000
0.000 6.061 0.000
0.000 0.000 6.061
Sr Si Hg
3 1 1
Direct
0.000 0.500 0.000
0.000 0.000 0.500
0.500 0.000 0.000
0.000 0.000 0.000
0.500 0.500 0.500
```

Summary:
E_form (uncorrected): -154 meV per atom
V: 223 Å³/cell
polymorph energy (0 for the lowest one): 0.0 kJ/mol of atoms

---

# 2
First-principles (PBE-GGA) data for a relaxed SrSiHg3 crystal, as listed in Alexandria.

```
SrSiHg3
1.0
5.230 0.000 0.000
0.000 5.230 0.000
0.000 0.000 5.230
Sr Si Hg
1 1 3
Direct
0.500 0.500 0.500
0.000 0.000 0.000
0.000 0.500 0.000
0.000 0.000 0.500
0.500 0.000 0.000
```

Summary:
E_form (uncorrected): -64 meV per atom
V: 143 Å³/cell
polymorph energy (0 for the lowest one): 0.0 kJ/mol of atoms

---

# 3
First-principles (PBE-GGA) data for a relaxed SrSi2Hg crystal, as listed in Alexandria.

```
SrSi2Hg
1.0
-3.691 -3.490 -0.530
-0.722 -4.015 -3.073
1.698 -4.720 2.956
Hg Si Sr
1 2 1
Direct
0.250 0.250 0.250
0.010 0.010 0.113
0.490 0.490 0.387
0.750 0.750 0.750
```

Summary:
E_form (uncorrected): -85 meV per atom
V: 103 Å³/cell

---

# 4
First-principles (PBE-GGA) data for a relaxed Sr2Si2Hg crystal, as listed in Alexandria.

```
Sr2Si2Hg
1.0
3.759 0.000 -1.095
0.000 4.385 0.000
0.394 0.000 8.307
Sr Si Hg
2 2 1
Direct
0.370 0.500 0.742
0.630 0.500 0.258
0.791 0.000 0.583
0.209 0.000 0.417
0.000 0.000 0.000
```

Summary:
E_form (uncorrected): -420 meV per atom
V: 139 Å³/cell
polymorph energy (0 for the lowest one): 0.0 kJ/mol of atoms

---

# 5
First-principles (PBE-GGA) data for a relaxed Sr4SiHg crystal, as listed in Alexandria.

```
Sr4SiHg
1.0
0.973 -4.903 4.884
-3.916 0.008 5.788
-4.816 -4.971 0.968
Sr Si Hg
4 1 1
Direct
0.878 0.374 0.374
0.374 0.374 0.878
0.374 0.878 0.374
0.374 0.374 0.374
0.000 0.000 0.000
0.750 0.750 0.750
```

Summary:
E_form (uncorrected): 538 meV per atom
V: 241 Å³/cell

---

# 6
First-principles (PBE-GGA) data for a relaxed SrSi2Hg2 crystal, as listed in Alexandria.

```
SrSi2Hg2
1.0
-0.328 0.751 4.641
3.845 -2.634 0.698
4.786 3.351 2.189
Sr Si Hg
1 2 2
Direct
0.000 0.000 0.000
0.389 0.389 0.221
0.611 0.611 0.779
0.750 0.250 0.500
0.250 0.750 0.500
```

Summary:
E_form (uncorrected): -153 meV per atom
V: 117 Å³/cell
polymorph energy (0 for the lowest one): 0.0 kJ/mol of atoms

---

# 7
First-principles (PBE-GGA) data for a relaxed SrSi2Hg crystal, as listed in Alexandria.

```
SrSi2Hg
1.0
-5.001 0.817 2.335
-4.025 -2.327 -3.084
4.830 -1.948 2.000
Hg Si Sr
1 2 1
Direct
0.750 0.250 0.500
0.000 0.000 0.000
0.250 0.750 0.500
0.500 0.500 0.000
```

Summary:
E_form (uncorrected): 164 meV per atom
V: 92 Å³/cell

---

# 8
First-principles (PBE-GGA) data for a relaxed Sr2SiHg crystal, as listed in Alexandria.

```
Sr2SiHg
1.0
3.941 0.000 0.000
0.000 3.771 0.000
0.000 0.000 7.999
Hg Si Sr
1 1 2
Direct
0.500 0.500 0.250
0.500 0.500 0.750
0.000 0.000 0.982
0.000 0.000 0.518
```

Summary:
E_form (uncorrected): -370 meV per atom
V: 119 Å³/cell